# 1
LaCu | Alexandria via LeMat-Bulk | PBE | optimized geometry; calculated density = 6.3 g/cm3; total energy = -4.644 eV per atom; Fermi-level density of states = 4.08 states/eV per cell; symmetry = R-3m, No. 166; DFT formation energy = -0.1322 eV/atom
1.0
7.0517 0.0777 0.0482
5.6803 4.1793 0.0482
5.6803 1.8993 3.7232
Cu La
2 2
direct
0.3321 0.3321 0.3321 Cu
0.6679 0.6679 0.6679 Cu
0.0907 0.0907 0.0907 La
0.9093 0.9093 0.9093 La


# 2
La3Cu4 | Alexandria via LeMat-Bulk | PBE | optimized geometry; distance to the lowest polymorph of the same formula = 441 meV/atom; calculated density = 6.3 g/cm3; total energy = -4.170 eV per atom; Fermi-level density of states = 5.01 states/eV per cell; symmetry = P6/mmm, No. 191; DFT formation energy = 0.2823 eV/atom
1.0
1.4958 4.0587 5.1162
-5.0322 -4.3868 0.5647
2.9068 -3.1248 1.6290
La Cu
3 4
direct
0.0000 0.5000 0.0000 La
0.5000 0.5000 0.0000 La
0.5000 0.0000 0.0000 La
0.0000 0.0000 0.2507 Cu
0.0000 0.0000 0.7493 Cu
0.6667 0.3333 0.5000 Cu
0.3333 0.6667 0.5000 Cu


# 3
La5Cu3 | Alexandria via LeMat-Bulk | PBE | optimized geometry; distance to the lowest polymorph of the same formula = 0 meV/atom; calculated density = 6.6 g/cm3; total energy = -4.709 eV per atom; Fermi-level density of states = 9.76 states/eV per cell; symmetry = P4/mmm, No. 123; DFT formation energy = -0.0932 eV/atom
1.0
3.6811 0.0000 0.0000
0.0000 3.6811 0.0000
0.0000 0.0000 16.3624
La Cu
5 3
direct
0.0000 0.0000 0.2181 La
0.5000 0.5000 0.6078 La
0.5000 0.5000 0.3922 La
0.0000 0.0000 0.7819 La
0.0000 0.0000 0.0000 La
0.5000 0.5000 0.1114 Cu
0.5000 0.5000 0.8886 Cu
0.0000 0.0000 0.5000 Cu


What did the second record say?
La3Cu4 | Alexandria via LeMat-Bulk | PBE | optimized geometry; distance to the lowest polymorph of the same formula = 441 meV/atom; calculated density = 6.3 g/cm3; total energy = -4.170 eV per atom; Fermi-level density of states = 5.01 states/eV per cell; symmetry = P6/mmm, No. 191; DFT formation energy = 0.2823 eV/atom
1.0
1.4958 4.0587 5.1162
-5.0322 -4.3868 0.5647
2.9068 -3.1248 1.6290
La Cu
3 4
direct
0.0000 0.5000 0.0000 La
0.5000 0.5000 0.0000 La
0.5000 0.0000 0.0000 La
0.0000 0.0000 0.2507 Cu
0.0000 0.0000 0.7493 Cu
0.6667 0.3333 0.5000 Cu
0.3333 0.6667 0.5000 Cu


Copy entry 1 word for word.
LaCu | Alexandria via LeMat-Bulk | PBE | optimized geometry; calculated density = 6.3 g/cm3; total energy = -4.644 eV per atom; Fermi-level density of states = 4.08 states/eV per cell; symmetry = R-3m, No. 166; DFT formation energy = -0.1322 eV/atom
1.0
7.0517 0.0777 0.0482
5.6803 4.1793 0.0482
5.6803 1.8993 3.7232
Cu La
2 2
direct
0.3321 0.3321 0.3321 Cu
0.6679 0.6679 0.6679 Cu
0.0907 0.0907 0.0907 La
0.9093 0.9093 0.9093 La


- Which formula does entry 2 have?
  La3Cu4